This record from the Alexandria database describes a relaxed PmErFe2O6 crystal. The functional is PBE+U.

Lattice parameters (Å, degrees): 5.5130 5.5130 13.7075 90.00 90.00 120.00
Space group R3 (No. 146, hexagonal axes)
Asymmetric unit:
Pm1 0.0000 0.0000 0.0000 x3
Er1 0.0000 0.0000 0.4886 x3
Fe1 0.0000 0.0000 0.2645 x3
Fe2 0.0000 0.0000 0.7673 x3
O1 0.0106 0.4009 0.5263 x9
O2 0.0162 0.5949 0.0288 x9

## Properties
Uncorrected energy ... -226.560 eV per cell